[1]
This record from the Alexandria database describes SrCuBiN2 after structural relaxation. The functional is PBE.

Structure (extended XYZ):
```
5
Lattice="-1.5197 -2.4947 3.2696 3.0110 -3.6623 -1.3948 3.1270 1.5631 2.6460" Properties=species:S:1:pos:R:3 pbc="T T T"
Sr 2.3091 -2.2969 2.2604
Bi 1.5055 -1.8311 -0.6974
Cu 0.0000 0.0000 0.0000
N 1.5635 0.7816 1.3230
N -0.7598 -1.2473 1.6348
```

- Total moment: 1.47 μB/f.u.
- Raw formation energy: 1179 meV per atom
- E: -4.08 eV/atom
- DOS at the Fermi energy: 3.3 states/eV/f.u.

***

[2]
This record from the Alexandria database describes Tm2Sc4C after structural relaxation. The functional is PBE.

Structure (extended XYZ):
```
7
Lattice="-4.0302 1.7980 0.5141 -0.7601 -2.6911 3.4525 1.0393 5.6721 7.5087" Properties=species:S:1:pos:R:3 pbc="T T T"
Sc -3.9357 0.6295 5.3417
Sc 0.1846 4.1494 6.1337
Sc -0.3801 -1.3456 1.7262
Sc -2.0151 0.8990 0.2571
C 0.0000 0.0000 0.0000
Tm -2.6392 2.9391 7.4273
Tm -1.1118 1.8398 4.0480
```

- Total moment: 0.00 μB/f.u.
- E: -6.18 eV/atom
- DOS at the Fermi energy: 11.2 states/eV/f.u.

***

[3]
This record from the Alexandria database describes HfZr2In2 after structural relaxation. The functional is PBE.

Structure (extended XYZ):
```
10
Lattice="8.6231 0.0000 0.0000 0.0000 8.6231 0.0000 0.0000 0.0000 3.1317" Properties=species:S:1:pos:R:3 pbc="T T T"
Hf 0.0000 0.0000 0.0000
Hf 4.3115 4.3115 0.0000
Zr 3.2540 7.5655 0.0000
Zr 7.5655 5.3690 0.0000
Zr 5.3690 1.0575 0.0000
Zr 1.0575 3.2540 0.0000
In 1.5138 5.8253 1.5658
In 5.8253 7.1093 1.5658
In 7.1093 2.7978 1.5658
In 2.7978 1.5138 1.5658
```

- Distance to the lowest polymorph of the same formula: 220 meV/atom
- Total moment: 0.00 μB/f.u.
- E: -6.43 eV/atom
- DOS at the Fermi energy: 5.0 states/eV/f.u.

***

[4]
This record from the Alexandria database describes Cu2SiAu2 after structural relaxation. The functional is PBE.

Structure (extended XYZ):
```
10
Lattice="5.3831 0.0675 0.0000 -0.4154 5.3674 0.0000 0.0000 0.0000 5.5291" Properties=species:S:1:pos:R:3 pbc="T T T"
Cu 0.7799 3.7805 1.8800
Cu 4.1878 1.6544 1.8800
Cu 3.6953 1.1156 4.6446
Cu 1.2724 4.3193 4.6446
Si -0.2077 2.6837 0.0469
Si 2.6915 0.0337 2.8114
Au 0.9489 1.6402 3.6257
Au 4.0187 3.7947 3.6257
Au 3.4192 4.3427 0.8611
Au 1.5485 1.0922 0.8611
```

- Distance to the lowest polymorph of the same formula: 0 meV/atom
- Total moment: 0.00 μB/f.u.
- Raw formation energy: 0 meV per atom
- E: -4.03 eV/atom
- DOS at the Fermi energy: 0.6 states/eV/f.u.

***

[5]
This record from the Alexandria database describes Hf2PaPd after structural relaxation. The functional is PBE.

Structure (extended XYZ):
```
4
Lattice="3.2841 0.0000 0.0000 0.0000 3.2841 0.0000 0.0000 0.0000 7.9044" Properties=species:S:1:pos:R:3 pbc="T T T"
Pa 1.6420 1.6420 3.9522
Hf 0.0000 0.0000 6.1983
Hf 0.0000 0.0000 1.7061
Pd 1.6420 1.6420 0.0000
```

- Distance to the lowest polymorph of the same formula: 0 meV/atom
- Total moment: 0.00 μB/f.u.
- E: -8.93 eV/atom
- DOS at the Fermi energy: 6.8 states/eV/f.u.

***

[6]
This record from the Alexandria database describes TiNbMo6 after structural relaxation. The functional is PBE.

Structure (extended XYZ):
```
8
Lattice="-4.2628 -0.1966 -1.4097 0.6856 -5.2953 -1.3347 -1.7391 0.3517 5.2099" Properties=species:S:1:pos:R:3 pbc="T T T"
Ti -1.4364 -0.3533 4.3929
Nb -2.9663 -1.8525 2.0645
Mo -0.5625 -0.5160 1.7728
Mo -1.0959 -3.0190 3.7349
Mo -0.2230 -3.1793 1.1177
Mo -2.0947 -2.0465 -0.5442
Mo -2.6176 -4.5004 1.3794
Mo -1.7441 -4.6988 -1.2344
```

- Distance to the lowest polymorph of the same formula: 0 meV/atom
- Total moment: 0.00 μB/f.u.
- E: -10.50 eV/atom
- DOS at the Fermi energy: 5.1 states/eV/f.u.

***

[7]
This record from the Alexandria database describes Ac2TmGe3Rh4 after structural relaxation. The functional is PBE.

Structure (extended XYZ):
```
10
Lattice="4.2913 0.0000 0.0000 0.0000 4.2913 0.0000 0.0000 0.0000 11.2503" Properties=species:S:1:pos:R:3 pbc="T T T"
Ac 2.1457 0.0000 2.6593
Ac 0.0000 2.1457 8.5910
Tm 2.1457 2.1457 5.6251
Ge 0.0000 0.0000 5.6251
Ge 2.1457 0.0000 9.9186
Ge 0.0000 2.1457 1.3316
Rh 2.1457 2.1457 0.0000
Rh 0.0000 0.0000 0.0000
Rh 2.1457 0.0000 7.3504
Rh 0.0000 2.1457 3.8999
```

- Total moment: 0.00 μB/f.u.
- E: -6.47 eV/atom
- DOS at the Fermi energy: 7.2 states/eV/f.u.

***

[8]
This record from the Alexandria database describes MnAuSe2 after structural relaxation. The functional is PBE.

Structure (extended XYZ):
```
8
Lattice="-6.8415 8.3600 4.6166 4.2955 -9.3912 -5.6002 -0.4995 -2.6661 4.0878" Properties=species:S:1:pos:R:3 pbc="T T T"
Mn 3.4370 -8.8883 -3.9052
Mn -6.4825 5.1910 7.0093
Au 0.6136 -4.3882 -1.3152
Au -3.6591 0.6909 4.4193
Se 2.2321 -6.9679 -2.7999
Se -5.2776 3.2706 5.9040
Se -6.4772 6.9137 5.1897
Se 3.4317 -10.6110 -2.0856
```

- Total moment: 3.93 μB/f.u.
- Raw formation energy: 48 meV per atom
- E: -4.81 eV/atom
- DOS at the Fermi energy: 2.3 states/eV/f.u.

***

[9]
This record from the Alexandria database describes Nd6Sm3Cd after structural relaxation. The functional is PBE.

Structure (extended XYZ):
```
20
Lattice="6.4593 0.0000 0.0000 0.0000 11.2423 -2.5997 0.0000 -5.0429 10.3787" Properties=species:S:1:pos:R:3 pbc="T T T"
Nd 0.3472 5.1745 4.5857
Nd 3.5769 3.3154 6.0673
Nd 2.1767 0.7106 8.1348
Nd 5.4063 7.7711 2.5080
Nd 2.1137 10.8883 -2.3176
Nd 5.0587 -0.3543 6.6422
Nd 1.8291 6.5537 1.1368
Nd 5.3434 -4.6889 10.0966
Nd 2.1767 -1.5717 5.2710
Nd 5.4063 5.4888 -0.3558
Nd 0.3472 2.8841 1.7117
Nd 3.5769 1.0249 3.1933
Sm 3.1036 7.2251 4.8143
Sm 6.3332 3.0806 8.1173
Sm 0.5139 1.7161 4.9922
Sm 3.7436 4.4833 2.7868
Sm 6.3332 -1.0257 2.9647
Sm 3.1036 3.1188 -0.3383
Cd 0.3421 -2.4877 8.3424
Cd 3.5718 8.6871 -0.5634
```

- Distance to the lowest polymorph of the same formula: 63 meV/atom
- Total moment: 0.00 μB/f.u.
- E: -4.33 eV/atom
- DOS at the Fermi energy: 13.3 states/eV/f.u.

***

[10]
This record from the Alexandria database describes NiSnSbP2 after structural relaxation. The functional is PBE.

Structure (extended XYZ):
```
5
Lattice="-0.3471 -1.5388 4.8003 4.6028 -0.9395 0.0316 0.9496 4.7056 1.5771" Properties=species:S:1:pos:R:3 pbc="T T T"
Sb 2.6027 1.1136 3.2045
Sn 0.0000 0.0000 0.0000
P 0.4748 2.3528 0.7886
P -0.1735 -0.7694 2.4001
Ni 2.3014 -0.4697 0.0158
```

- Distance to the lowest polymorph of the same formula: 160 meV/atom
- Total moment: 0.00 μB/f.u.
- Raw formation energy: 1039 meV per atom
- E: -3.91 eV/atom
- DOS at the Fermi energy: 3.6 states/eV/f.u.

***

[11]
This record from the Alexandria database describes Tc2SbAs after structural relaxation. The functional is PBE.

Structure (extended XYZ):
```
4
Lattice="3.0200 0.0000 0.0000 0.0000 3.0200 0.0000 0.0000 0.0000 8.1058" Properties=species:S:1:pos:R:3 pbc="T T T"
Sb 1.5100 1.5100 6.4863
As 0.0000 0.0000 3.4630
Tc 0.0000 0.0000 0.2709
Tc 1.5100 1.5100 1.9384
```

- Distance to the lowest polymorph of the same formula: 0 meV/atom
- Total moment: 0.00 μB/f.u.
- Raw formation energy: 7 meV per atom
- E: -7.37 eV/atom
- DOS at the Fermi energy: 2.1 states/eV/f.u.

***

[12]
This record from the Alexandria database describes BaAlSe3 after structural relaxation. The functional is PBE.

Structure (extended XYZ):
```
5
Lattice="5.0772 0.0000 0.0000 0.0000 5.0772 0.0000 0.0000 0.0000 5.0772" Properties=species:S:1:pos:R:3 pbc="T T T"
Ba 2.5386 2.5386 2.5386
Se 0.0000 2.5386 0.0000
Se 0.0000 0.0000 2.5386
Se 2.5386 0.0000 0.0000
Al 0.0000 0.0000 0.0000
```

- Distance to the lowest polymorph of the same formula: 116 meV/atom
- Total moment: 0.00 μB/f.u.
- Raw formation energy: -1070 meV per atom
- E: -4.29 eV/atom
- DOS at the Fermi energy: 3.1 states/eV/f.u.

***

[13]
This record from the Alexandria database describes SrDyZn2Pt2 after structural relaxation. The functional is PBE.

Structure (extended XYZ):
```
6
Lattice="-2.5527 3.3298 -1.4270 -0.5831 -1.6515 4.0709 5.1595 5.1713 2.8370" Properties=species:S:1:pos:R:3 pbc="T T T"
Sr 0.0000 0.0000 0.0000
Dy 2.5798 2.5857 1.4185
Zn -0.4410 3.1278 1.2057
Zn 2.4647 3.7218 4.2752
Pt 1.7577 5.3316 2.4147
Pt 0.2660 1.5180 3.0662
```

- Total moment: 0.00 μB/f.u.
- E: -4.31 eV/atom
- DOS at the Fermi energy: 5.1 states/eV/f.u.

***

[14]
This record from the Alexandria database describes TeHPd2Ru after structural relaxation. The functional is PBE.

Structure (extended XYZ):
```
5
Lattice="4.0749 0.0000 0.0000 0.0000 4.0749 0.0000 0.0000 0.0000 4.1481" Properties=species:S:1:pos:R:3 pbc="T T T"
Ru 0.0000 0.0000 2.0740
Te 2.0375 2.0375 2.0740
Pd 0.0000 2.0375 0.0000
Pd 2.0375 0.0000 0.0000
H 0.0000 0.0000 0.0000
```

- Total moment: 0.00 μB/f.u.
- E: -5.15 eV/atom
- DOS at the Fermi energy: 4.2 states/eV/f.u.

***

[15]
This record from the Alexandria database describes BaCo2Sb after structural relaxation. The functional is PBE.

Structure (extended XYZ):
```
4
Lattice="-1.2257 2.5778 3.1171 -0.9677 -1.5855 3.7966 5.0668 0.9757 4.0545" Properties=species:S:1:pos:R:3 pbc="T T T"
Ba 2.3205 1.4941 8.2739
Co -1.1591 1.1075 7.2265
Co 0.3780 0.4543 2.6404
Sb 0.5772 0.8885 5.2252
```

- Total moment: 2.28 μB/f.u.
- Raw formation energy: -177 meV per atom
- E: -5.24 eV/atom
- DOS at the Fermi energy: 2.9 states/eV/f.u.

***

[16]
This record from the Alexandria database describes In2Sb after structural relaxation. The functional is PBE.

Structure (extended XYZ):
```
6
Lattice="2.3161 -6.8529 0.0000 2.3161 6.8529 0.0000 0.0000 0.0000 5.4742" Properties=species:S:1:pos:R:3 pbc="T T T"
In 2.3161 0.7685 1.3685
In 2.3161 -0.7685 4.1056
In 2.3161 -3.6573 1.3685
In 2.3161 3.6573 4.1056
Sb 2.3161 5.1643 1.3685
Sb 2.3161 -5.1643 4.1056
```

- Total moment: 0.00 μB/f.u.
- Raw formation energy: 21 meV per atom
- E: -3.18 eV/atom
- DOS at the Fermi energy: 1.0 states/eV/f.u.

***

[17]
This record from the Alexandria database describes La3TmTe6 after structural relaxation. The functional is PBE.

Structure (extended XYZ):
```
10
Lattice="8.0069 -0.0097 -0.0069 3.8263 7.1841 -0.0170 3.8263 2.3848 6.7768" Properties=species:S:1:pos:R:3 pbc="T T T"
La 4.3339 2.3809 1.6819
La 11.3256 7.1783 5.0709
La 0.0000 0.0000 0.0000
Tm 7.8298 4.7796 3.3764
Te 5.9237 2.7831 4.4822
Te 9.7358 4.4046 5.6277
Te 9.7358 6.7761 2.2706
Te 5.9237 5.1546 1.1251
Te 6.5110 7.0813 5.0024
Te 9.1485 2.4779 1.7505
```

- Distance to the lowest polymorph of the same formula: 103 meV/atom
- Total moment: 0.00 μB/f.u.
- Raw formation energy: -1379 meV per atom
- E: -5.19 eV/atom

***

[18]
This record from the Alexandria database describes FeTcSbI2 after structural relaxation. The functional is PBE.

Structure (extended XYZ):
```
5
Lattice="5.3113 0.0000 0.0000 0.0000 5.3113 0.0000 0.0000 0.0000 4.8520" Properties=species:S:1:pos:R:3 pbc="T T T"
I 0.0000 2.6557 0.0000
I 2.6557 0.0000 0.0000
Sb 0.0000 0.0000 2.4260
Tc 2.6557 2.6557 2.4260
Fe 0.0000 0.0000 0.0000
```

- Distance to the lowest polymorph of the same formula: 135 meV/atom
- Total moment: 4.43 μB/f.u.
- Raw formation energy: 1206 meV per atom
- E: -4.00 eV/atom
- DOS at the Fermi energy: 8.2 states/eV/f.u.

***

[19]
This record from the Alexandria database describes K3Cd2 after structural relaxation. The functional is PBE.

Structure (extended XYZ):
```
5
Lattice="5.1146 0.0000 0.0000 0.0000 4.8532 -1.5489 0.0000 0.3555 9.4915" Properties=species:S:1:pos:R:3 pbc="T T T"
K 0.0000 4.3876 5.3699
K 2.5573 2.4266 -0.7745
K 0.0000 0.8211 2.5727
Cd 2.5573 3.5784 2.8343
Cd 2.5573 1.6303 5.1083
```

- Distance to the lowest polymorph of the same formula: 0 meV/atom
- Total moment: 0.00 μB/f.u.
- E: -1.07 eV/atom
- DOS at the Fermi energy: 3.9 states/eV/f.u.

***

[20]
This record from the Alexandria database describes Pr4Sb3Cl after structural relaxation. The functional is PBE.

Structure (extended XYZ):
```
8
Lattice="5.8006 0.0052 -2.5713 -1.1447 5.6866 -2.5712 -0.0176 -0.0216 7.7890" Properties=species:S:1:pos:R:3 pbc="T T T"
Pr 5.2107 2.8269 3.9321
Pr 1.7381 5.6676 3.9322
Pr 1.1819 1.4448 2.6691
Pr 3.4565 4.2255 -0.0226
Sb 2.3280 2.8459 -2.5712
Sb 4.0555 1.4148 1.3232
Sb 0.5829 4.2554 1.3233
Cl 4.6384 5.6702 2.6465
```

- Total moment: 0.00 μB/f.u.
- Raw formation energy: -1267 meV per atom
- E: -5.43 eV/atom
- DOS at the Fermi energy: 3.5 states/eV/f.u.